# NaYMg2Rh PBE-GGA relaxed
data_NaYMg2Rh
_chemical_formula_sum 'Na1 Y1 Mg2 Rh1'
_symmetry_space_group_name_H-M 'P 4/m m m'
_symmetry_Int_Tables_number 123
_symmetry_space_group_name_Hall '-P 4 2'
_cell_length_a 5.176
_cell_length_b 5.176
_cell_length_c 5.183
_cell_angle_alpha 90.00
_cell_angle_beta 90.00
_cell_angle_gamma 90.00
loop_
_atom_site_label
_atom_site_type_symbol
_atom_site_fract_x
_atom_site_fract_y
_atom_site_fract_z
_atom_site_occupancy
Na1 Na 0.000 0.000 0.000 1
Y1 Y 0.500 0.500 0.000 1
Mg1 Mg 0.000 0.500 0.500 1
Rh1 Rh 0.500 0.500 0.500 1
# M_tot = 0.00 Bohr magnetons per cell
# Total energy = -19.2 eV/cell
# D(E_F) = 2.95 states/eV per cell
# Calculated formation energy = -179 meV/atom


# AcPr2P PBE-GGA relaxed
data_AcPr2P
_chemical_formula_sum 'Ac3 Pr6 P3'
_symmetry_space_group_name_H-M 'R -3 m'
_symmetry_Int_Tables_number 166
_symmetry_space_group_name_Hall '-R 3 2"'
_cell_length_a 4.0457
_cell_length_b 4.0457
_cell_length_c 29.3639
_cell_angle_alpha 90.00
_cell_angle_beta 90.00
_cell_angle_gamma 120.00
loop_
_atom_site_label
_atom_site_type_symbol
_atom_site_fract_x
_atom_site_fract_y
_atom_site_fract_z
_atom_site_occupancy
Ac1 Ac 0.0000 0.0000 0.0000 1
Pr1 Pr 0.0000 0.0000 0.2239 1
P1 P 0.0000 0.0000 0.5000 1
# M_tot = 0.00 Bohr magnetons per cell
# Total energy = -65.6 eV/cell
# D(E_F) = 9.45 states/eV per cell
# Relative energy among the computed polymorphs = 6 meV/atom
# Calculated formation energy = -697 meV/atom


> total energy of number 2 (AcPr2P)?

-65.6 eV/cell


> Look up the M_tot of the second one.

0.00 Bohr magnetons per cell


> What is the formula in the second record?

AcPr2P


> Which of these has the lowest total energy?

AcPr2P